(1)
LuHfScTc | Alexandria | PBE | relaxed; DFT formation energy = -15 meV per atom; N(E_F) = 4.16 states/eV per cell
1.0
-1.551 -0.368 -4.621
-4.739 -0.756 -0.935
-2.704 3.569 -1.962
Lu Sc Tc Hf
1 1 1 1
Cartesian
-2.248 0.611 -1.880 Lu
0.000 0.000 0.000 Sc
-4.497 1.223 -3.759 Tc
-6.745 1.834 -5.639 Hf

***

(2)
AcYCu2 | Alexandria | PBE | relaxed; distance to the lowest polymorph of the same formula = 37 meV per atom; DFT formation energy = -122 meV per atom; N(E_F) = 2.26 states/eV per cell
1.0
4.874 0.000 0.000
2.437 4.221 0.000
2.437 1.407 4.970
Cu Ac Y
2 1 1
Cartesian
2.437 1.407 1.876 Cu
7.311 4.221 3.094 Cu
0.000 0.000 0.000 Ac
4.874 2.814 2.485 Y

***

(3)
AcPm4Ho2 | Alexandria | PBE | relaxed; distance to the lowest polymorph of the same formula = 12 meV per atom; DFT formation energy = 234 meV per atom; N(E_F) = 12.62 states/eV per cell
1.0
-4.899 -4.128 2.240
-3.314 -4.581 -4.155
12.021 3.617 2.441
Pm Ho Ac
4 2 1
Cartesian
0.603 -3.891 -0.243 Pm
-1.657 -2.290 -2.077 Pm
-2.449 -2.064 1.120 Pm
3.205 -1.201 0.770 Pm
-2.816 -5.365 -0.487 Ho
6.624 0.274 1.014 Ho
0.000 0.000 0.000 Ac

***

(4)
InCo2SCl | Alexandria | PBE | relaxed; N(E_F) = 2.19 states/eV per cell; formation energy without anion corrections = 3.1 eV/f.u.
1.0
4.051 0.000 0.000
0.000 7.359 0.000
0.000 0.000 4.051
In S Co Cl
1 1 2 1
Cartesian
0.000 3.680 0.000 In
2.025 3.680 2.025 S
2.025 0.000 0.000 Co
0.000 0.000 2.025 Co
0.000 0.000 0.000 Cl

***

(5)
LuNb2Ru | Alexandria | PBE | relaxed; DFT formation energy = 395 meV per atom; N(E_F) = 3.70 states/eV per cell
1.0
2.949 0.000 0.000
1.475 2.554 0.000
1.475 0.851 10.326
Ru Lu Nb
1 1 2
Cartesian
2.949 1.703 5.163 Ru
0.000 0.000 0.000 Lu
1.475 0.851 7.333 Nb
4.424 2.554 2.993 Nb

***

(6)
Sr2AgIrO | Alexandria | PBE | relaxed; N(E_F) = 1.65 states/eV per cell; formation energy without anion corrections = -4.0 eV/f.u.
1.0
-3.100 -4.268 -0.835
3.164 -2.338 0.205
-0.717 -0.509 5.268
O Ag Sr Ir
1 1 2 1
Cartesian
0.000 0.000 0.000 O
-0.327 -3.558 2.319 Ag
-1.550 -2.134 -0.417 Sr
-0.359 -0.255 2.634 Sr
1.582 -1.169 0.102 Ir

***

(7)
LiAu2Br | Alexandria | PBE | relaxed; distance to the lowest polymorph of the same formula = 524 meV per atom; N(E_F) = 0.55 states/eV per cell; formation energy without anion corrections = 0.2 eV/f.u.
1.0
-3.000 -2.265 3.008
-3.843 -2.327 -1.732
-0.142 -4.812 0.088
Au Br Li
2 1 1
Cartesian
-5.239 -7.053 1.023 Au
-1.746 -2.351 0.341 Au
-3.493 -4.702 0.682 Br
0.000 0.000 0.000 Li

***

(8)
MnSe3 | Alexandria | PBE | relaxed; N(E_F) = 3.52 states/eV per cell; formation energy without anion corrections = 0.0 eV/f.u.
1.0
-2.051 3.409 2.713
-2.281 -0.269 -4.232
-0.302 -4.243 2.257
Se Mn
3 1
Cartesian
-2.166 1.570 -0.760 Se
-1.291 -2.256 -0.988 Se
-1.176 -0.417 2.485 Se
0.000 0.000 0.000 Mn